# 1
Re2AgSb: optimized geometry, PBE.

SG: No. 10
Formation energy from raw total energies in eV/atom: 0.7980

Lattice parameters (Å, degrees): 4.9165 2.9744 4.9584 90.00 110.04 90.00
Sites, in units of the cell vectors:
Re: 0.0000 0.0000 0.0000
Re: 0.0000 0.5000 0.5000
Ag: 0.5000 0.0000 0.5000
Sb: 0.5000 0.5000 0.0000

# 2
NdSbAs: optimized geometry, PBE.

SG: No. 12
Formation energy from raw total energies in eV/atom: -0.7998
Energy above the most stable polymorph in this dataset in eV/atom: 0.031

Lattice parameters (Å, degrees): 4.4635 4.4635 8.3251 90.04 90.04 92.50
Sites, in units of the cell vectors:
Nd: 0.2504 0.2504 0.1677
Nd: 0.7496 0.7496 0.8323
Sb: 0.0000 0.5000 0.5000
Sb: 0.5000 0.0000 0.5000
As: 0.2496 0.2496 0.8121
As: 0.7504 0.7504 0.1879

# 3
KTl2PtAu: optimized geometry, PBE.

SG: No. 123
DFT formation energy in eV per atom: -0.12
Energy above the most stable polymorph in this dataset in eV/atom: 0.000

Lattice parameters (Å, degrees): 5.2808 5.2808 5.4721 90.00 90.00 90.00
Sites, in units of the cell vectors:
K: 0.0000 0.0000 0.0000
Tl: 0.0000 0.5000 0.5000
Tl: 0.5000 0.0000 0.5000
Pt: 0.5000 0.5000 0.5000
Au: 0.5000 0.5000 0.0000

In the order shown, the computed energy values come out to -28.7 -31.9 -15.7 eV/cell.
In the order shown, the computed size of the total moment values come out to 0.00 0.00 0.00 Bohr magnetons per cell.